[1]
# TlRuN3 | Alexandria | PBE-GGA | relaxed
data_TlRuN3
_cell_length_a 4.1783
_cell_length_b 4.1783
_cell_length_c 4.1783
_cell_angle_alpha 90.00
_cell_angle_beta 90.00
_cell_angle_gamma 90.00
_symmetry_space_group_name_H-M 'P m -3 m'
_symmetry_Int_Tables_number 221
_symmetry_space_group_name_Hall '-P 4 2 3'
loop_
_atom_site_label
_atom_site_type_symbol
_atom_site_fract_x
_atom_site_fract_y
_atom_site_fract_z
Tl1 Tl 0.0000 0.0000 0.0000
Ru1 Ru 0.5000 0.5000 0.5000
N1 N 0.0000 0.0000 0.5000
# raw formation energy	3.019	eV/atom
# mass density	7.91	g/cm3

[2]
# Tl2TcAg | Alexandria | PBE-GGA | relaxed
data_Tl2TcAg
_cell_length_a 7.0442
_cell_length_b 7.0442
_cell_length_c 7.0442
_cell_angle_alpha 90.00
_cell_angle_beta 90.00
_cell_angle_gamma 90.00
_symmetry_space_group_name_H-M 'F -4 3 m'
_symmetry_Int_Tables_number 216
_symmetry_space_group_name_Hall 'F -4 2 3'
loop_
_atom_site_label
_atom_site_type_symbol
_atom_site_fract_x
_atom_site_fract_y
_atom_site_fract_z
Tl1 Tl 0.0000 0.0000 0.0000
Tl2 Tl 0.2500 0.2500 0.2500
Tc1 Tc 0.2500 0.2500 0.7500
Ag1 Ag 0.0000 0.0000 0.5000
# mass density	11.68	g/cm3
# energy of formation from the pure elements	0.8145	eV per atom

[3]
# Dy2AlGePd6 | Alexandria | PBE-GGA | relaxed
data_Dy2AlGePd6
_cell_length_a 5.6338
_cell_length_b 5.6338
_cell_length_c 22.5557
_cell_angle_alpha 90.00
_cell_angle_beta 90.00
_cell_angle_gamma 120.00
_symmetry_space_group_name_H-M 'R -3 m'
_symmetry_Int_Tables_number 166
_symmetry_space_group_name_Hall '-R 3 2"'
loop_
_atom_site_label
_atom_site_type_symbol
_atom_site_fract_x
_atom_site_fract_y
_atom_site_fract_z
Dy1 Dy 0.0000 0.0000 0.2047
Al1 Al 0.0000 0.0000 0.5000
Ge1 Ge 0.0000 0.0000 0.0000
Pd1 Pd 0.0007 0.5003 0.2501
# mass density	8.54	g/cm3
# energy of formation from the pure elements	-0.6727	eV per atom

[4]
# Er2Pa2C3 | Alexandria | PBE-GGA | relaxed
data_Er2Pa2C3
_cell_length_a 12.9968
_cell_length_b 3.5209
_cell_length_c 5.9940
_cell_angle_alpha 90.00
_cell_angle_beta 115.32
_cell_angle_gamma 90.00
_symmetry_space_group_name_H-M 'C 1 2/m 1'
_symmetry_Int_Tables_number 12
_symmetry_space_group_name_Hall '-C 2y'
loop_
_atom_site_label
_atom_site_type_symbol
_atom_site_fract_x
_atom_site_fract_y
_atom_site_fract_z
Er1 Er 0.1301 0.0000 0.4779
Pa1 Pa 0.1223 0.5000 0.9465
C1 C 0.0000 0.5000 0.5000
C2 C 0.2377 0.0000 0.2105
# mass density	11.15	g/cm3
# energy of formation from the pure elements	-0.3048	eV per atom

- Look up the mass density of the third one.
  8.54 g/cm3